## CsNpMnO6 (PBE+U)

Data for a relaxed CsNpMnO6 crystal.

DFT total energy = -7.711 eV per atom
size of the total moment = 0.330 μB/atom

Geometry as POSCAR:
```
CsNpMnO6
1.0
-4.8699 -2.1723 0.1832
-0.7843 -4.9490 -1.8383
1.3571 -2.4984 6.1591
O Cs Np Mn
6 1 1 1
Cartesian
-2.5221 -2.2354 2.1853 O
0.3563 -4.6996 2.9417 O
0.1108 -2.7402 1.4053 O
-2.3792 -4.8418 3.4821 O
-1.8508 -4.6934 1.0412 O
-0.9516 -2.5266 4.1114 O
-3.5126 -4.6711 6.3419 Cs
-3.0907 -5.9970 1.9758 Np
-1.2062 -3.6226 2.5279 Mn
```